Entry 1:
Entry from Alexandria: a relaxed ZrBe2Ga crystal (PBE).

Structure (POSCAR):
```
ZrBe2Ga
1.0
3.888 0.000 0.000
0.000 3.888 0.000
0.000 0.000 3.726
Zr Be Ga
1 2 1
direct
0.000 0.000 0.000
0.000 0.500 0.500
0.500 0.000 0.500
0.500 0.500 0.000
```

## Properties
- ΔH_f (0 K): -0.21 eV/atom
- Space-group type: P4/mmm
- Raw total energy: -4.968 eV per atom
- M_tot: 0.00 Bohr magnetons per cell
- Crystal system: tetragonal
- D(E_F): 1.49 states/eV per cell

---

Entry 2:
Entry from Alexandria: a relaxed ZrBeGa2 crystal (PBE).

Structure (POSCAR):
```
ZrBeGa2
1.0
-1.944 1.944 9.256
1.944 -1.944 9.256
1.944 1.944 -9.256
Zr Be Ga
2 2 4
direct
0.000 0.000 0.000
0.750 0.250 0.500
0.250 0.750 0.500
0.500 0.500 0.000
0.151 0.625 0.026
0.375 0.401 0.526
0.599 0.125 0.974
0.875 0.849 0.474
```

## Properties
- ΔH_f (0 K): 0.12 eV/atom
- Space-group type: I-42d
- Raw total energy: -4.459 eV per atom
- M_tot: 0.00 Bohr magnetons per cell
- Crystal system: tetragonal
- D(E_F): 3.88 states/eV per cell

---

- Look up the ΔH_f (0 K) of the first one.
  -0.21 eV/atom

---

- Which value of M_tot does entry 2 give?
  0.00 Bohr magnetons per cell

---

- Which of these has the highest ΔH_f (0 K)?
  ZrBeGa2

---

- Which value of ΔH_f (0 K) does entry 1 give?
  -0.21 eV/atom